Entry from Alexandria via LeMat-Bulk: a geometry-optimized Pm2AlCoO6 structure (PBE with a Hubbard U).

Lattice parameters (Å, degrees): 5.350 5.372 7.563 90.00 89.91 90.00
Fractional positions:
Pm 0.009 0.962 0.250
Pm 0.509 0.538 0.750
Pm 0.991 0.038 0.750
Pm 0.491 0.462 0.250
Al 0.500 0.000 0.500
Al 0.000 0.500 0.000
Co 0.500 0.000 0.000
Co 0.000 0.500 0.500
O 0.280 0.716 0.039
O 0.780 0.784 0.539
O 0.720 0.284 0.961
O 0.220 0.216 0.461
O 0.284 0.720 0.460
O 0.784 0.780 0.960
O 0.716 0.280 0.540
O 0.216 0.220 0.040
O 0.927 0.512 0.248
O 0.427 0.988 0.748
O 0.073 0.488 0.752
O 0.573 0.012 0.252

Computed properties:
* total energy: -7.54 eV/atom
* DOS at the Fermi energy: 0.00 states/eV/cell